Compound: Zr2ScRu2
Source: Alexandria
Functional: PBE-GGA
Structure: optimized geometry

```
data_Zr2ScRu2
_chemical_formula_sum 'Zr4 Sc2 Ru4'
_cell_length_a 3.2905
_cell_length_b 4.7369
_cell_length_c 11.9507
_cell_angle_alpha 90.00
_cell_angle_beta 97.93
_cell_angle_gamma 90.00
_space_group_name_H-M_alt 'P 1 21/m 1'
_space_group_IT_number 11
loop_
_space_group_symop_operation_xyz
'x,y,z'
'-x,-y,-z'
'-x,y+1/2,-z'
'x,-y+1/2,z'
loop_
_atom_site_label
_atom_site_fract_x
_atom_site_fract_y
_atom_site_fract_z
_atom_site_occupancy
Zr1 0.0487 0.2500 0.0973 1
Zr2 0.2337 0.2500 0.4687 1
Sc1 0.1426 0.7500 0.2856 1
Ru1 0.3560 0.7500 0.7118 1
Ru2 0.4530 0.2500 0.9057 1
```

- Size of the total moment: 0.0000 μB/atom
- Energy relative to the elements: -0.53 eV per atom
- Density of states at the Fermi level: 0.42 states/eV/atom
- V: 18.45 Å³/atom
- Offset from the most stable computed form: 0.0 meV per atom

=====

Compound: Zr2ScRu
Source: Alexandria
Functional: PBE-GGA
Structure: optimized geometry

```
data_Zr2ScRu
_chemical_formula_sum 'Zr4 Sc2 Ru2'
_cell_length_a 3.9788
_cell_length_b 3.9788
_cell_length_c 10.0158
_cell_angle_alpha 90.00
_cell_angle_beta 90.00
_cell_angle_gamma 90.00
_space_group_name_H-M_alt 'I -4 m 2'
_space_group_IT_number 119
_space_group_name_Hall 'I -4 -2'
loop_
_atom_site_label
_atom_site_fract_x
_atom_site_fract_y
_atom_site_fract_z
_atom_site_occupancy
Zr1 0.0000 0.0000 0.0000 1
Zr2 0.0000 0.5000 0.2500 1
Sc1 0.0000 0.0000 0.5000 1
Ru1 0.0000 0.5000 0.7500 1
```

- Size of the total moment: 0.0000 μB/atom
- Energy relative to the elements: -0.06 eV per atom
- Density of states at the Fermi level: 1.40 states/eV/atom
- V: 19.82 Å³/atom
- Offset from the most stable computed form: 275.6 meV per atom

=====

Compound: Zr2ScRu
Source: Alexandria
Functional: PBE-GGA
Structure: optimized geometry

```
data_Zr2ScRu
_chemical_formula_sum 'Zr6 Sc3 Ru3'
_cell_length_a 3.2209
_cell_length_b 3.2209
_cell_length_c 27.7930
_cell_angle_alpha 90.00
_cell_angle_beta 90.00
_cell_angle_gamma 120.00
_space_group_name_H-M_alt 'R 3 m'
_space_group_IT_number 160
_space_group_name_Hall 'R 3 -2"'
loop_
_atom_site_label
_atom_site_fract_x
_atom_site_fract_y
_atom_site_fract_z
_atom_site_occupancy
Zr1 0.0000 0.0000 0.0000 1
Zr2 0.0000 0.0000 0.2408 1
Sc1 0.0000 0.0000 0.4746 1
Ru1 0.0000 0.0000 0.7380 1
```

- Size of the total moment: 0.0000 μB/atom
- Energy relative to the elements: -0.11 eV per atom
- Density of states at the Fermi level: 0.77 states/eV/atom
- V: 20.81 Å³/atom
- Offset from the most stable computed form: 220.9 meV per atom